Record 1
Below is an optimized crystal structure of Pr2Zn3Cu12Ni, with properties calculated at the PBE level.

Cell: 9.582 9.582 9.582 Å, 37.73 37.73 37.73°
Atoms (fractional coordinates):
Pr 0.152 0.152 0.152
Pr 0.848 0.848 0.848
Zn 0.000 0.500 0.500
Zn 0.500 0.000 0.500
Zn 0.500 0.500 0.000
Cu 0.080 0.080 0.690
Cu 0.080 0.690 0.080
Cu 0.152 0.568 0.568
Cu 0.310 0.920 0.920
Cu 0.432 0.432 0.848
Cu 0.432 0.848 0.432
Cu 0.568 0.152 0.568
Cu 0.568 0.568 0.152
Cu 0.690 0.080 0.080
Cu 0.848 0.432 0.432
Cu 0.920 0.310 0.920
Cu 0.920 0.920 0.310
Ni 0.500 0.500 0.500

Computed properties:
SG: R-3m


Record 2
Below is an optimized crystal structure of Pr2ZrCu3Ni12, with properties calculated at the PBE level.

Cell: 6.395 6.395 6.395 Å, 83.07 83.07 83.07°
Atoms (fractional coordinates):
Pr 0.208 0.208 0.208
Pr 0.792 0.792 0.792
Zr 0.500 0.500 0.500
Cu 0.000 0.500 0.500
Cu 0.500 0.000 0.500
Cu 0.500 0.500 0.000
Ni 0.090 0.090 0.640
Ni 0.090 0.640 0.090
Ni 0.215 0.702 0.702
Ni 0.298 0.298 0.785
Ni 0.298 0.785 0.298
Ni 0.360 0.910 0.910
Ni 0.640 0.090 0.090
Ni 0.702 0.215 0.702
Ni 0.702 0.702 0.215
Ni 0.785 0.298 0.298
Ni 0.910 0.360 0.910
Ni 0.910 0.910 0.360

Computed properties:
SG: R-3m


Record 3
Below is an optimized crystal structure of Cu3Ni2Pt4, with properties calculated at the PBE level.

Cell: 4.555 4.555 7.977 Å, 104.35 104.35 49.81°
Atoms (fractional coordinates):
Cu 0.000 0.000 0.000
Cu 0.333 0.333 0.449
Cu 0.667 0.667 0.551
Ni 0.333 0.333 0.775
Ni 0.667 0.667 0.225
Pt 0.004 0.004 0.333
Pt 0.333 0.333 0.113
Pt 0.667 0.667 0.887
Pt 0.996 0.996 0.667

Computed properties:
Energy above the lowest structure with this stoichiometry: 0.0 kJ per mole of atoms
SG: C2/m


Number 1: raw total energy -3.670 eV/atom. Number 2: raw total energy -5.498 eV/atom. Number 3: raw total energy -5.443 eV/atom.